Record 1
A PBEsol-optimized structure of KNpCuS3. Source: the Alexandria database, functional meta-GGA SCAN.

Unit cell a=3.8933 b=7.1560 c=10.0276 alpha=90.00 beta=90.00 gamma=105.79
Closest atoms and distances in Å follow each position.
Fractional positions:
1 Np 0.0000 0.0000 0.5000  6 S 2.65
2 Np 0.0000 0.0000 0.0000  6 S 2.65
3 K 0.2566 0.5133 0.2500  8 S 3.17-3.53
4 K 0.7434 0.4867 0.7500  8 S 3.17-3.53
5 S 0.9380 0.8759 0.2500  2 Cu 2.34
6 S 0.0620 0.1241 0.7500  2 Cu 2.34
7 S 0.3767 0.7534 0.5610  1 Cu 2.27
8 S 0.6233 0.2466 0.4390  1 Cu 2.27
9 S 0.6233 0.2466 0.0610  1 Cu 2.27
10 S 0.3767 0.7534 0.9390  1 Cu 2.27
11 Cu 0.5324 0.0648 0.2500  4 S 2.27-2.34
12 Cu 0.4676 0.9352 0.7500  4 S 2.27-2.34

Raw formation energy = -1.234 eV/atom
Total moment = 0.500 μB/atom
Space-group type = Cmcm, No. 63

Record 2
A PBEsol-optimized structure of KNaHf4P6O24. Source: the Alexandria database, functional meta-GGA SCAN.

Unit cell a=8.7695 b=8.7695 c=9.2567 alpha=61.73 beta=61.73 gamma=60.00
Closest atoms and distances in Å follow each position.
Fractional positions:
1 K 0.0000 0.0000 0.0000  6 O 2.71
2 Na 0.5000 0.5000 0.5000  6 O 2.64
3 Hf 0.3531 0.3531 0.9406  6 O 2.04-2.07
4 Hf 0.8527 0.8527 0.4419  6 O 2.03-2.06
5 Hf 0.6469 0.6469 0.0594  6 O 2.04-2.07
6 Hf 0.1473 0.1473 0.5581  6 O 2.03-2.06
7 P 0.2521 0.9600 0.2514  4 O 1.53-1.54
8 P 0.9600 0.5365 0.2514  4 O 1.53-1.54
9 P 0.5365 0.2521 0.2514  4 O 1.53-1.54
10 P 0.0400 0.4635 0.7486  4 O 1.53-1.54
11 P 0.4635 0.7479 0.7486  4 O 1.53-1.54
12 P 0.7479 0.0400 0.7486  4 O 1.53-1.54
13 O 0.2806 0.1247 0.0879  1 P 1.54
14 O 0.1247 0.5068 0.0879  1 P 1.54
15 O 0.5068 0.2806 0.0879  1 P 1.54
16 O 0.0090 0.6337 0.5900  1 P 1.53
17 O 0.6337 0.7672 0.5900  1 P 1.53
18 O 0.7672 0.0090 0.5900  1 P 1.53
19 O 0.7194 0.8753 0.9121  1 P 1.54
20 O 0.8753 0.4932 0.9121  1 P 1.54
21 O 0.4932 0.7194 0.9121  1 P 1.54
22 O 0.9910 0.3663 0.4100  1 P 1.53
23 O 0.3663 0.2328 0.4100  1 P 1.53
24 O 0.2328 0.9910 0.4100  1 P 1.53
25 O 0.0762 0.9372 0.2791  1 P 1.54
26 O 0.9372 0.7074 0.2791  1 P 1.54
27 O 0.7074 0.0762 0.2791  1 P 1.54
28 O 0.2188 0.4298 0.7709  1 P 1.54
29 O 0.4298 0.5805 0.7709  1 P 1.54
30 O 0.5805 0.2188 0.7709  1 P 1.54
31 O 0.9238 0.0628 0.7209  1 P 1.54
32 O 0.0628 0.2926 0.7209  1 P 1.54
33 O 0.2926 0.9238 0.7209  1 P 1.54
34 O 0.7812 0.5702 0.2291  1 P 1.54
35 O 0.5702 0.4195 0.2291  1 P 1.54
36 O 0.4195 0.7812 0.2291  1 P 1.54

Raw formation energy = -3.054 eV/atom
Total moment = 0.000 μB/atom
Space-group type = R-3, No. 148

Record 3
A PBEsol-optimized structure of Al2GaP3O12. Source: the Alexandria database, functional meta-GGA SCAN.

Unit cell a=4.9798 b=4.9578 c=11.0297 alpha=90.65 beta=90.00 gamma=120.15
Closest atoms and distances in Å follow each position.
Fractional positions:
1 Al 0.5375 0.5386 0.1677  4 O 1.74-1.75
2 Al 0.9989 0.4614 0.8323  4 O 1.74-1.75
3 Ga 0.4666 0.0000 0.5000  4 O 1.82-1.83
4 P 0.4689 0.0000 0.0000  4 O 1.53-1.54
5 P 0.5364 0.5410 0.6672  4 O 1.53-1.54
6 P 0.9954 0.4590 0.3328  4 O 1.53-1.54
7 O 0.4151 0.3175 0.5566  1 P 1.54
8 O 0.8797 0.5879 0.2320  1 P 1.54
9 O 0.7091 0.1215 0.8978  1 P 1.54
10 O 0.0977 0.6825 0.4434  1 P 1.54
11 O 0.2918 0.4121 0.7680  1 P 1.54
12 O 0.5876 0.8785 0.1022  1 P 1.54
13 O 0.4172 0.2594 0.0509  1 P 1.53
14 O 0.8413 0.5783 0.7163  1 P 1.53
15 O 0.7353 0.1345 0.3725  1 P 1.54
16 O 0.1578 0.7406 0.9491  1 P 1.53
17 O 0.2630 0.4217 0.2837  1 P 1.53
18 O 0.6008 0.8655 0.6275  1 P 1.54

Raw formation energy = -2.734 eV/atom
Total moment = 0.000 μB/atom
Space-group type = C2, No. 5

Record 4
A PBEsol-optimized structure of TeMoBr2. Source: the Alexandria database, functional meta-GGA SCAN.

Unit cell a=5.2055 b=6.8710 c=6.8710 alpha=81.75 beta=67.74 gamma=67.74
Closest atoms and distances in Å follow each position.
Fractional positions:
1 Mo 0.5000 0.0000 0.0000  4 Br 2.59, 2 Te 2.60
2 Mo 0.2500 0.5000 0.5000  4 Br 2.59, 2 Te 2.60
3 Te 0.0000 0.0000 0.0000  2 Mo 2.60
4 Te 0.7500 0.5000 0.5000  2 Mo 2.60
5 Br 0.4985 0.1265 0.6265  2 Mo 2.59
6 Br 0.2515 0.8735 0.3735  2 Mo 2.59
7 Br 0.3750 0.3735 0.1265  2 Mo 2.59
8 Br 0.8750 0.6265 0.8735  2 Mo 2.59

Relative energy among the computed polymorphs = 0.000 eV per atom
Raw formation energy = 0.084 eV/atom
Total moment = 0.286 μB/atom
Space-group type = I-42d, No. 122

Record 5
A PBEsol-optimized structure of Na3AlP2. Source: the Alexandria database, functional meta-GGA SCAN.

Unit cell a=6.0020 b=6.7281 c=7.9882 alpha=114.91 beta=112.07 gamma=90.00
Closest atoms and distances in Å follow each position.
Fractional positions:
1 P 0.6017 0.2997 0.2035  2 Al 2.41
2 P 0.3983 0.7003 0.7965  2 Al 2.41
3 P 0.1017 0.9038 0.2035  2 Al 2.41
4 P 0.8983 0.0962 0.7965  2 Al 2.41
5 Al 0.7500 0.0000 0.0000  4 P 2.41
6 Al 0.2500 0.0000 0.0000  4 P 2.41
7 Na 0.2500 0.5000 0.0000  4 P 2.86, 2 Na 3.00
8 Na 0.7500 0.5000 0.0000  4 P 2.86, 2 Na 3.00
9 Na 0.1905 0.3809 0.3810  2 P 2.84-2.86
10 Na 0.6905 0.0001 0.3810  2 P 2.84-2.86
11 Na 0.3095 0.9999 0.6190  2 P 2.84-2.86
12 Na 0.8095 0.6191 0.6190  2 P 2.84-2.86

Total moment = 0.000 μB/atom
Space-group type = Ibam, No. 72
Formation energy from the elements = -3.86 eV per formula unit

Record 6
A PBEsol-optimized structure of SrMn2Si. Source: the Alexandria database, functional meta-GGA SCAN.

Unit cell a=2.9567 b=2.9567 c=7.4300 alpha=90.00 beta=90.00 gamma=90.00
Closest atoms and distances in Å follow each position.
Fractional positions:
1 Mn 0.0000 0.0000 0.0853  4 Mn 2.41, 1 Si 2.54
2 Mn 0.5000 0.5000 0.2472  4 Mn 2.41, 4 Si 2.48
3 Si 0.0000 0.0000 0.4272  5 Mn 2.48-2.54
4 Sr 0.5000 0.5000 0.7403  4 Sr 2.96, 4 Si 3.13, 4 Mn 3.31

Raw formation energy = 0.187 eV/atom
Total moment = 0.672 μB/atom
Space-group type = P4mm, No. 99

> Which value of total moment does entry 5 give?

0.000 μB/atom